No. 1
A plane-wave DFT calculation with SCAN was carried out for BiW3Cl at its PBEsol-relaxed geometry.

Geometry as POSCAR:
```
BiW3Cl
1.0
4.491 0.000 0.000
0.000 4.491 0.000
0.000 0.000 4.491
Bi W Cl
1 3 1
Direct
0.000 0.000 0.000
0.000 0.500 0.500
0.500 0.000 0.500
0.500 0.500 0.000
0.500 0.500 0.500
```

- Volume: 91 Å³ per cell
- Total DFT energy (no corrections): -285.8 eV/f.u.
- Space-group type: Pm-3m

---

No. 2
A plane-wave DFT calculation with SCAN was carried out for MnReHg2Sb at its PBEsol-relaxed geometry.

Geometry as POSCAR:
```
MnReHg2Sb
1.0
5.208 0.000 0.000
0.000 5.208 0.000
0.000 0.000 4.519
Mn Re Hg Sb
1 1 2 1
Direct
0.000 0.000 0.000
0.000 0.000 0.500
0.000 0.500 0.500
0.500 0.000 0.500
0.500 0.500 0.000
```

- Volume: 123 Å³ per cell
- Total DFT energy (no corrections): -257.8 eV/f.u.
- Space-group type: P4/mmm